1.
Here is a geometry-optimized OsPtN2O structure from Alexandria. Energies are from PBE.

The structure in POSCAR format:
```
OsPtN2O
1.0
-1.2497 -0.7077 -3.6849
-0.4714 -3.8235 0.8942
-3.5127 0.6811 1.0605
N O Os Pt
2 1 1 1
direct
0.5000 0.0000 0.0000
0.0000 0.5000 0.0000
0.0000 0.0000 0.5000
0.0000 0.0000 0.0000
0.5000 0.5000 0.5000
```

Results
Formation energy from raw total energies (eV per atom): 0.995
Fermi-level density of states (states/eV/cell): 2.91
Total energy (eV/atom): -6.781
SG: P4/mmm

---

2.
Here is a geometry-optimized OsPtN2O structure from Alexandria. Energies are from PBE.

The structure in POSCAR format:
```
OsPtN2O
1.0
3.9140 0.0000 0.0000
0.0000 3.9140 0.0000
0.0000 0.0000 3.9843
Pt N O Os
1 2 1 1
direct
0.0000 0.0000 0.0000
0.0000 0.5000 0.0000
0.5000 0.0000 0.0000
0.0000 0.0000 0.5000
0.5000 0.5000 0.5000
```

Results
Formation energy from raw total energies (eV per atom): 1.999
Fermi-level density of states (states/eV/cell): 3.61
Total energy (eV/atom): -5.777
SG: P4/mmm

---

3.
Here is a geometry-optimized RbOsN2O structure from Alexandria. Energies are from PBE.

The structure in POSCAR format:
```
RbOsN2O
1.0
-3.1856 0.2386 2.2577
2.2526 -0.1525 3.1945
0.2990 4.1242 -0.0140
N O Os Rb
2 1 1 1
direct
0.5000 0.0000 0.0000
0.0000 0.5000 0.0000
0.0000 0.0000 0.5000
0.0000 0.0000 0.0000
0.5000 0.5000 0.5000
```

Results
Formation energy from raw total energies (eV per atom): 0.088
Fermi-level density of states (states/eV/cell): 3.05
Total energy (eV/atom): -6.673
SG: P4/mmm

---

4.
Here is a geometry-optimized RbOsN2O structure from Alexandria. Energies are from PBE.

The structure in POSCAR format:
```
RbOsN2O
1.0
4.3363 0.0000 0.0000
0.0000 4.3363 0.0000
0.0000 0.0000 4.0054
N Rb Os O
2 1 1 1
direct
0.5000 0.0000 0.0000
0.0000 0.5000 0.0000
0.0000 0.0000 0.0000
0.5000 0.5000 0.5000
0.0000 0.0000 0.5000
```

Results
Formation energy from raw total energies (eV per atom): 3.597
Fermi-level density of states (states/eV/cell): 7.10
Total energy (eV/atom): -3.164
SG: P4/mmm

---

5.
Here is a geometry-optimized RbOsNO3 structure from Alexandria. Energies are from PBE.

The structure in POSCAR format:
```
RbOsNO3
1.0
6.0171 0.0000 0.0000
0.0000 5.8647 0.0000
0.0000 0.0000 13.9036
O Rb Os N
12 4 4 4
direct
0.2602 0.2080 0.8072
0.7579 0.7904 0.3110
0.9950 0.9464 0.0817
0.7602 0.2920 0.1928
0.7421 0.2096 0.8110
0.2398 0.7920 0.3072
0.7398 0.7080 0.6928
0.5050 0.0536 0.5817
0.0050 0.4464 0.4183
0.2579 0.7096 0.6890
0.2421 0.2904 0.1890
0.4950 0.5536 0.9183
0.5029 0.7073 0.1266
0.0029 0.7927 0.8734
0.9971 0.2927 0.6266
0.4971 0.2073 0.3734
0.4981 0.2685 0.8769
0.5019 0.7685 0.6231
0.9981 0.2315 0.1231
0.0019 0.7315 0.3769
0.5056 0.5919 0.5259
0.0056 0.9081 0.4741
0.4944 0.0919 0.9741
0.9944 0.4081 0.0259
```

Results
Formation energy from raw total energies (eV per atom): -0.953
Fermi-level density of states (states/eV/cell): 0.00
Total energy (eV/atom): -6.852
SG: P2_12_12_1

---

6.
Here is a geometry-optimized ReOsNO2 structure from Alexandria. Energies are from PBE.

The structure in POSCAR format:
```
ReOsNO2
1.0
-0.3766 3.7768 -1.1307
-3.8169 -0.0650 1.0541
0.9591 1.1567 3.5442
Os O Re N
1 2 1 1
direct
0.0000 0.0000 0.0000
0.0000 0.5000 0.0000
0.5000 0.0000 0.0000
0.5000 0.5000 0.5000
0.0000 0.0000 0.5000
```

Results
Formation energy from raw total energies (eV per atom): 0.897
Fermi-level density of states (states/eV/cell): 3.34
Total energy (eV/atom): -7.487
SG: P4/mmm

---

7.
Here is a geometry-optimized ReOsNO2 structure from Alexandria. Energies are from PBE.

The structure in POSCAR format:
```
ReOsNO2
1.0
-3.4733 -1.3038 -1.0176
1.5741 -3.3324 -1.1031
-0.5327 -1.4820 3.7169
Os N O Re
1 1 2 1
direct
0.5000 0.5000 0.5000
0.0000 0.0000 0.5000
0.5000 0.0000 0.0000
0.0000 0.5000 0.0000
0.0000 0.0000 0.0000
```

Results
Formation energy from raw total energies (eV per atom): 0.634
Fermi-level density of states (states/eV/cell): 2.98
Total energy (eV/atom): -7.750
SG: P4/mmm

---

8.
Here is a geometry-optimized OsRhN2O structure from Alexandria. Energies are from PBE.

The structure in POSCAR format:
```
OsRhN2O
1.0
-3.3434 -1.8565 -0.5165
1.8923 -2.9678 -1.5821
0.3667 -1.6363 3.5081
Os N O Rh
1 2 1 1
direct
0.5000 0.5000 0.5000
0.5000 0.0000 0.0000
0.0000 0.5000 0.0000
0.0000 0.0000 0.5000
0.0000 0.0000 0.0000
```

Results
Formation energy from raw total energies (eV per atom): 1.741
Fermi-level density of states (states/eV/cell): 4.49
Total energy (eV/atom): -6.297
SG: P4/mmm

---

9.
Here is a geometry-optimized OsRh2NO structure from Alexandria. Energies are from PBE.

The structure in POSCAR format:
```
OsRh2NO
1.0
3.8396 0.0000 0.0000
0.0000 4.2863 0.0000
0.0000 0.0000 3.8396
O Rh Os N
1 2 1 1
direct
0.0000 0.5000 0.0000
0.5000 0.0000 0.0000
0.0000 0.0000 0.5000
0.5000 0.5000 0.5000
0.0000 0.0000 0.0000
```

Results
Formation energy from raw total energies (eV per atom): 1.176
Fermi-level density of states (states/eV/cell): 5.09
Total energy (eV/atom): -6.667
SG: P4/mmm

---

10.
Here is a geometry-optimized OsRhN2O structure from Alexandria. Energies are from PBE.

The structure in POSCAR format:
```
OsRhN2O
1.0
-1.7246 3.3569 0.9026
0.3137 -0.8532 3.7725
3.4162 1.7264 0.1064
Os N Rh O
1 2 1 1
direct
0.0000 0.0000 0.0000
0.0000 0.5000 0.0000
0.5000 0.0000 0.0000
0.5000 0.5000 0.5000
0.0000 0.0000 0.5000
```

Results
Formation energy from raw total energies (eV per atom): 0.884
Fermi-level density of states (states/eV/cell): 5.67
Total energy (eV/atom): -7.154
SG: P4/mmm

---

11.
Here is a geometry-optimized OsRuN2O structure from Alexandria. Energies are from PBE.

The structure in POSCAR format:
```
OsRuN2O
1.0
-0.9163 -1.9439 -3.2085
3.0391 -2.3210 0.5383
-2.2277 -2.4281 2.1073
N Ru O Os
2 1 1 1
direct
0.5000 0.0000 0.0000
0.0000 0.5000 0.0000
0.5000 0.5000 0.5000
0.0000 0.0000 0.5000
0.0000 0.0000 0.0000
```

Results
Formation energy from raw total energies (eV per atom): 0.995
Fermi-level density of states (states/eV/cell): 4.72
Total energy (eV/atom): -7.428
SG: P4/mmm

---

12.
Here is a geometry-optimized OsRuNO2 structure from Alexandria. Energies are from PBE.

The structure in POSCAR format:
```
OsRuNO2
1.0
-2.6407 1.6751 2.2856
-2.6191 -0.2501 -2.8427
-1.0888 -3.5061 1.3116
N Ru O Os
1 1 2 1
direct
0.0000 0.0000 0.5000
0.0000 0.0000 0.0000
0.0000 0.5000 0.0000
0.5000 0.0000 0.0000
0.5000 0.5000 0.5000
```

Results
Formation energy from raw total energies (eV per atom): 1.016
Fermi-level density of states (states/eV/cell): 3.63
Total energy (eV/atom): -6.734
SG: P4/mmm

---

13.
Here is a geometry-optimized OsRuN2O structure from Alexandria. Energies are from PBE.

The structure in POSCAR format:
```
OsRuN2O
1.0
3.8954 0.0000 0.0000
0.0000 3.8954 0.0000
0.0000 0.0000 3.7898
Ru N O Os
1 2 1 1
direct
0.0000 0.0000 0.0000
0.5000 0.0000 0.0000
0.0000 0.5000 0.0000
0.0000 0.0000 0.5000
0.5000 0.5000 0.5000
```

Results
Formation energy from raw total energies (eV per atom): 1.510
Fermi-level density of states (states/eV/cell): 4.25
Total energy (eV/atom): -6.913
SG: P4/mmm

---

14.
Here is a geometry-optimized OsRuNO2 structure from Alexandria. Energies are from PBE.

The structure in POSCAR format:
```
OsRuNO2
1.0
3.9121 0.0000 0.0000
0.0000 3.9121 0.0000
0.0000 0.0000 3.8474
Ru Os O N
1 1 2 1
direct
0.5000 0.5000 0.5000
0.0000 0.0000 0.0000
0.0000 0.5000 0.0000
0.5000 0.0000 0.0000
0.0000 0.0000 0.5000
```

Results
Formation energy from raw total energies (eV per atom): 0.521
Fermi-level density of states (states/eV/cell): 4.19
Total energy (eV/atom): -7.229
SG: P4/mmm

---

15.
Here is a geometry-optimized SbOsN2O structure from Alexandria. Energies are from PBE.

The structure in POSCAR format:
```
SbOsN2O
1.0
4.0646 0.0000 0.0000
0.0000 4.0646 0.0000
0.0000 0.0000 3.8456
O Os Sb N
1 1 1 2
direct
0.0000 0.0000 0.5000
0.5000 0.5000 0.5000
0.0000 0.0000 0.0000
0.0000 0.5000 0.0000
0.5000 0.0000 0.0000
```

Results
Formation energy from raw total energies (eV per atom): 1.570
Fermi-level density of states (states/eV/cell): 3.52
Total energy (eV/atom): -5.822
SG: P4/mmm

---

16.
Here is a geometry-optimized SbOsN2O structure from Alexandria. Energies are from PBE.

The structure in POSCAR format:
```
SbOsN2O
1.0
-1.3364 -3.6246 0.2026
1.2814 -0.2690 3.6401
-3.6510 1.4239 1.3905
O Sb N Os
1 1 2 1
direct
0.0000 0.0000 0.5000
0.5000 0.5000 0.5000
0.5000 0.0000 0.0000
0.0000 0.5000 0.0000
0.0000 0.0000 0.0000
```

Results
Formation energy from raw total energies (eV per atom): 0.477
Fermi-level density of states (states/eV/cell): 1.55
Total energy (eV/atom): -6.915
SG: P4/mmm

---

17.
Here is a geometry-optimized ScOsN2O structure from Alexandria. Energies are from PBE.

The structure in POSCAR format:
```
ScOsN2O
1.0
3.8159 0.0000 0.0000
0.0000 3.8159 0.0000
0.0000 0.0000 4.0168
Sc N O Os
1 2 1 1
direct
0.5000 0.5000 0.5000
0.5000 0.0000 0.0000
0.0000 0.5000 0.0000
0.0000 0.0000 0.5000
0.0000 0.0000 0.0000
```

Results
Formation energy from raw total energies (eV per atom): -0.364
Fermi-level density of states (states/eV/cell): 2.16
Total energy (eV/atom): -8.198
SG: P4/mmm

---

18.
Here is a geometry-optimized ScOsN2O structure from Alexandria. Energies are from PBE.

The structure in POSCAR format:
```
ScOsN2O
1.0
-3.7061 1.8384 0.0304
-1.7423 -3.4897 -1.3791
-0.5476 -1.1640 3.6373
Os O N Sc
1 1 2 1
direct
0.5000 0.5000 0.5000
0.0000 0.0000 0.5000
0.5000 0.0000 0.0000
0.0000 0.5000 0.0000
0.0000 0.0000 0.0000
```

Results
Formation energy from raw total energies (eV per atom): 1.061
Fermi-level density of states (states/eV/cell): 4.73
Total energy (eV/atom): -6.773
SG: P4/mmm

---

19.
Here is a geometry-optimized OsSeN2O structure from Alexandria. Energies are from PBE.

The structure in POSCAR format:
```
OsSeN2O
1.0
3.9164 0.0000 0.0000
0.0000 3.9164 0.0000
0.0000 0.0000 3.6508
N O Os Se
2 1 1 1
direct
0.5000 0.0000 0.0000
0.0000 0.5000 0.0000
0.0000 0.0000 0.5000
0.5000 0.5000 0.5000
0.0000 0.0000 0.0000
```

Results
Formation energy from raw total energies (eV per atom): 1.977
Fermi-level density of states (states/eV/cell): 4.09
Total energy (eV/atom): -5.288
SG: P4/mmm

---

20.
Here is a geometry-optimized OsSeN2O structure from Alexandria. Energies are from PBE.

The structure in POSCAR format:
```
OsSeN2O
1.0
3.6832 0.0000 0.0000
0.0000 3.6832 0.0000
0.0000 0.0000 5.4314
N Os O Se
2 1 1 1
direct
0.0000 0.5000 0.0000
0.5000 0.0000 0.0000
0.0000 0.0000 0.0000
0.5000 0.5000 0.5000
0.0000 0.0000 0.5000
```

Results
Formation energy from raw total energies (eV per atom): 0.900
Fermi-level density of states (states/eV/cell): 3.11
Total energy (eV/atom): -6.365
SG: P4/mmm

---

21.
Here is a geometry-optimized OsSeN2O structure from Alexandria. Energies are from PBE.

The structure in POSCAR format:
```
OsSeN2O
1.0
-3.2654 -1.6412 0.8976
0.0718 -1.9144 -3.2391
1.9258 -2.8781 1.7437
N Se O Os
2 1 1 1
direct
0.0000 0.5000 0.0000
0.5000 0.0000 0.0000
0.0000 0.0000 0.5000
0.0000 0.0000 0.0000
0.5000 0.5000 0.5000
```

Results
Formation energy from raw total energies (eV per atom): 2.253
Fermi-level density of states (states/eV/cell): 2.58
Total energy (eV/atom): -5.012
SG: P4/mmm

---

22.
Here is a geometry-optimized OsSeN2O structure from Alexandria. Energies are from PBE.

The structure in POSCAR format:
```
OsSeN2O
1.0
-2.2778 -1.9830 2.5432
-0.5476 -2.8306 -2.6975
3.0833 -1.8520 1.3175
N O Os Se
2 1 1 1
direct
0.0000 0.5000 0.0000
0.5000 0.0000 0.0000
0.0000 0.0000 0.5000
0.0000 0.0000 0.0000
0.5000 0.5000 0.5000
```

Results
Formation energy from raw total energies (eV per atom): 0.854
Fermi-level density of states (states/eV/cell): 4.58
Total energy (eV/atom): -6.410
SG: P4/mmm

---

23.
Here is a geometry-optimized SiOsNO2 structure from Alexandria. Energies are from PBE.

The structure in POSCAR format:
```
SiOsNO2
1.0
3.9604 0.0000 0.0000
0.0000 3.9604 0.0000
0.0000 0.0000 3.7952
O N Os Si
2 1 1 1
direct
0.0000 0.5000 0.0000
0.5000 0.0000 0.0000
0.0000 0.0000 0.5000
0.0000 0.0000 0.0000
0.5000 0.5000 0.5000
```

Results
Formation energy from raw total energies (eV per atom): 0.143
Fermi-level density of states (states/eV/cell): 2.47
Total energy (eV/atom): -6.836
SG: P4/mmm

---

24.
Here is a geometry-optimized SiOsNO2 structure from Alexandria. Energies are from PBE.

The structure in POSCAR format:
```
SiOsNO2
1.0
-2.3634 -0.0490 2.4023
-2.3614 -0.5755 -2.3349
0.5591 -4.1792 0.4648
O N Si Os
2 1 1 1
direct
0.0000 0.5000 0.0000
0.5000 0.0000 0.0000
0.0000 0.0000 0.5000
0.0000 0.0000 0.0000
0.5000 0.5000 0.5000
```

Results
Formation energy from raw total energies (eV per atom): -0.036
Fermi-level density of states (states/eV/cell): 2.72
Total energy (eV/atom): -7.015
SG: P4/mmm

---

25.
Here is a geometry-optimized SnOsN2O structure from Alexandria. Energies are from PBE.

The structure in POSCAR format:
```
SnOsN2O
1.0
4.1417 0.0000 0.0000
0.0000 4.1417 0.0000
0.0000 0.0000 3.9097
Os Sn N O
1 1 2 1
direct
0.5000 0.5000 0.5000
0.0000 0.0000 0.0000
0.5000 0.0000 0.0000
0.0000 0.5000 0.0000
0.0000 0.0000 0.5000
```

Results
Formation energy from raw total energies (eV per atom): 1.677
Fermi-level density of states (states/eV/cell): 3.94
Total energy (eV/atom): -5.691
SG: P4/mmm

---

26.
Here is a geometry-optimized SnOsN2O structure from Alexandria. Energies are from PBE.

The structure in POSCAR format:
```
SnOsN2O
1.0
3.8659 0.0000 0.0000
0.0000 3.8659 0.0000
0.0000 0.0000 4.1821
O N Sn Os
1 2 1 1
direct
0.0000 0.0000 0.5000
0.5000 0.0000 0.0000
0.0000 0.5000 0.0000
0.5000 0.5000 0.5000
0.0000 0.0000 0.0000
```

Results
Formation energy from raw total energies (eV per atom): 0.250
Fermi-level density of states (states/eV/cell): 2.54
Total energy (eV/atom): -7.118
SG: P4/mmm

---

27.
Here is a geometry-optimized SrOsNO2 structure from Alexandria. Energies are from PBE.

The structure in POSCAR format:
```
SrOsNO2
1.0
-1.4791 -1.7137 3.3586
-1.5271 -3.0264 -2.2167
3.2587 -1.9621 0.4339
Os N O Sr
1 1 2 1
direct
0.0000 0.0000 0.0000
0.0000 0.0000 0.5000
0.0000 0.5000 0.0000
0.5000 0.0000 0.0000
0.5000 0.5000 0.5000
```

Results
Formation energy from raw total energies (eV per atom): -1.188
Fermi-level density of states (states/eV/cell): 2.78
Total energy (eV/atom): -7.418
SG: P4/mmm

---

28.
Here is a geometry-optimized SrOsNO2 structure from Alexandria. Energies are from PBE.

The structure in POSCAR format:
```
SrOsNO2
1.0
-3.3968 -1.9900 1.8589
1.1013 -3.7218 -1.9719
2.7007 -1.1585 3.6949
O Os Sr N
2 1 1 1
direct
0.5000 0.0000 0.0000
0.0000 0.5000 0.0000
0.5000 0.5000 0.5000
0.0000 0.0000 0.0000
0.0000 0.0000 0.5000
```

Results
Formation energy from raw total energies (eV per atom): 1.664
Fermi-level density of states (states/eV/cell): 2.44
Total energy (eV/atom): -4.567
SG: P4/mmm